Entry 1:
{
  "formula": "Nd2Sm2BI3Br2",
  "functional": "PBE",
  "state": "optimized geometry",
  "energy_ry_per_atom": -0.338,
  "total_magnetization_mub_per_fu": 0.024,
  "cell": [[-8.4460, -4.9225, -0.1482], [-6.7315, -6.2420, 3.3633], [-2.2338, 7.5093, 3.9126]],
  "species": ["B", "Br", "Br", "I", "I", "I", "Nd", "Nd", "Sm", "Sm"],
  "fractional_positions": [[0.5000, 0.5000, 0.0000], [0.1584, 0.1584, 0.3280], [0.8416, 0.8416, 0.6720], [0.8288, 0.8288, 0.1824], [0.5000, 0.5000, 0.5000], [0.1712, 0.1712, 0.8176], [0.6405, 0.6405, 0.0764], [0.3595, 0.3595, 0.9236], [0.9999, 0.9999, 0.2009], [0.0001, 0.0001, 0.7991]]
}

=====

Entry 2:
{
  "formula": "Pr2Sm2BI3Br2",
  "functional": "PBE",
  "state": "optimized geometry",
  "energy_ry_per_atom": -0.338,
  "total_magnetization_mub_per_fu": 0.001,
  "cell": [[-2.7631, -7.0944, -6.1574], [1.0555, -6.2050, -7.5009], [3.4870, -4.6672, 6.8219]],
  "species": ["B", "Br", "Br", "I", "I", "I", "Pr", "Pr", "Sm", "Sm"],
  "fractional_positions": [[0.5000, 0.5000, 0.0000], [0.1614, 0.1614, 0.3121], [0.8386, 0.8386, 0.6879], [0.8254, 0.8254, 0.1714], [0.5000, 0.5000, 0.5000], [0.1746, 0.1746, 0.8286], [0.9994, 0.9994, 0.2033], [0.0006, 0.0006, 0.7967], [0.6387, 0.6387, 0.0718], [0.3613, 0.3613, 0.9282]]
}

=====

Entry 3:
{
  "formula": "Sm4BI2Br3",
  "functional": "PBE",
  "state": "optimized geometry",
  "energy_ry_per_atom": -0.342,
  "total_magnetization_mub_per_fu": 0.003,
  "cell": [[-3.4243, -2.5566, 8.7461], [0.3675, -3.9812, 8.8753], [2.8782, 7.7923, 1.4522]],
  "species": ["B", "Br", "Br", "Br", "I", "I", "Sm", "Sm", "Sm", "Sm"],
  "fractional_positions": [[0.5000, 0.5000, 0.0000], [0.1585, 0.1585, 0.3337], [0.5000, 0.5000, 0.5000], [0.8415, 0.8415, 0.6663], [0.8274, 0.8274, 0.1878], [0.1726, 0.1726, 0.8122], [0.6388, 0.6388, 0.0752], [0.9994, 0.9994, 0.2101], [0.0006, 0.0006, 0.7899], [0.3612, 0.3612, 0.9248]]
}

=====

Entry 4:
{
  "formula": "Sm2Y2BI2Br3",
  "functional": "PBE",
  "state": "optimized geometry",
  "energy_ry_per_atom": -0.368,
  "total_magnetization_mub_per_fu": 0.002,
  "cell": [[-3.3666, -0.5256, 9.0061], [-5.8513, -2.9918, 7.0378], [5.8940, -5.9969, 0.0733]],
  "species": ["B", "Br", "Br", "Br", "I", "I", "Sm", "Sm", "Y", "Y"],
  "fractional_positions": [[0.5000, 0.5000, 0.0000], [0.1597, 0.1597, 0.3242], [0.5000, 0.5000, 0.5000], [0.8403, 0.8403, 0.6758], [0.8248, 0.8248, 0.1812], [0.1752, 0.1752, 0.8188], [0.9989, 0.9989, 0.2102], [0.0011, 0.0011, 0.7898], [0.6364, 0.6364, 0.0722], [0.3636, 0.3636, 0.9278]]
}

=====

Entry 5:
{
  "formula": "KZn2BBr2O3",
  "functional": "PBE",
  "state": "optimized geometry",
  "energy_ry_per_atom": -0.361,
  "cell": [[-3.0725, 3.9066, 0.4644], [-4.2072, 0.1983, -2.6791], [-13.6224, -13.1412, 20.4202]],
  "species": ["B", "B", "B", "Br", "Br", "Br", "Br", "Br", "Br", "K", "K", "K", "O", "O", "O", "O", "O", "O", "O", "O", "O", "Zn", "Zn", "Zn", "Zn", "Zn", "Zn"],
  "fractional_positions": [[0.0001, 0.9999, 0.0000], [0.6668, 0.6666, 0.3333], [0.3334, 0.3332, 0.6667], [0.6667, 0.6667, 0.1125], [0.0000, 0.0000, 0.2207], [0.3333, 0.3333, 0.4459], [0.6667, 0.6667, 0.5541], [0.0000, 0.0000, 0.7793], [0.3333, 0.3333, 0.8875], [0.3334, 0.3333, 0.1667], [0.0000, 0.0000, 0.5000], [0.6667, 0.6666, 0.8333], [0.2761, 0.0000, 0.0000], [0.7238, 0.2762, 0.0000], [0.0000, 0.7239, 0.0000], [0.6665, 0.3905, 0.3333], [0.9429, 0.6665, 0.3333], [0.3905, 0.9429, 0.3333], [0.3335, 0.0571, 0.6667], [0.6095, 0.3335, 0.6667], [0.0571, 0.6095, 0.6667], [0.6667, 0.6667, 0.0269], [0.0000, 0.0000, 0.3064], [0.3333, 0.3333, 0.3602], [0.6667, 0.6667, 0.6398], [0.0000, 0.0000, 0.6936], [0.3333, 0.3333, 0.9731]]
}

=====

Entry 6:
{
  "formula": "La2Nd2BBr5",
  "functional": "PBE",
  "state": "optimized geometry",
  "energy_ry_per_atom": -0.358,
  "total_magnetization_mub_per_fu": 0.034,
  "cell": [[-2.7470, -8.2887, -3.9757], [1.0435, -9.1650, -2.6399], [-2.9322, -0.6008, 7.9262]],
  "species": ["B", "Br", "Br", "Br", "Br", "Br", "La", "La", "Nd", "Nd"],
  "fractional_positions": [[0.5000, 0.5000, 0.0000], [0.8311, 0.8311, 0.1747], [0.1630, 0.1630, 0.3490], [0.5000, 0.5000, 0.5000], [0.8370, 0.8370, 0.6510], [0.1689, 0.1689, 0.8253], [0.6476, 0.6476, 0.0817], [0.3524, 0.3524, 0.9183], [0.9990, 0.9990, 0.2124], [0.0010, 0.0010, 0.7876]]
}

=====

Entry 7:
{
  "formula": "La2Pr2BBr5",
  "functional": "PBE",
  "state": "optimized geometry",
  "energy_ry_per_atom": -0.358,
  "total_magnetization_mub_per_fu": 0.031,
  "cell": [[-8.5762, -2.3236, -3.6820], [-5.9561, -3.9994, -6.4061], [1.5785, -6.3880, 5.4481]],
  "species": ["B", "Br", "Br", "Br", "Br", "Br", "La", "La", "Pr", "Pr"],
  "fractional_positions": [[0.5000, 0.5000, 0.0000], [0.8300, 0.8300, 0.1702], [0.1639, 0.1639, 0.3462], [0.5000, 0.5000, 0.5000], [0.8361, 0.8361, 0.6538], [0.1700, 0.1700, 0.8298], [0.6472, 0.6472, 0.0821], [0.3528, 0.3528, 0.9179], [0.9988, 0.9988, 0.2132], [0.0012, 0.0012, 0.7868]]
}

=====

Entry 8:
{
  "formula": "NdBBr6",
  "functional": "PBE",
  "state": "optimized geometry",
  "energy_ry_per_atom": -0.266,
  "total_magnetization_mub_per_fu": 0.001,
  "cell": [[7.4738, 0.0000, 0.0000], [-3.7369, 6.4725, 0.0000], [0.0000, 0.0000, 7.7350]],
  "species": ["B", "Br", "Br", "Br", "Br", "Br", "Br", "Nd"],
  "fractional_positions": [[0.0000, 0.0000, 0.0000], [0.2568, 0.0026, 0.0000], [0.9974, 0.2543, 0.0000], [0.7457, 0.7432, 0.0000], [0.6928, 0.0279, 0.5000], [0.3351, 0.3072, 0.5000], [0.9721, 0.6649, 0.5000], [0.3333, 0.6667, 0.5000]]
}

=====

Entry 9:
{
  "formula": "Nd4B2Br5",
  "functional": "PBE",
  "state": "optimized geometry",
  "energy_ry_per_atom": -0.365,
  "total_magnetization_mub_per_fu": 0.010,
  "cell": [[-5.6429, -3.2226, 8.1599], [-2.0297, -4.7000, 9.0886], [2.5527, 7.6320, 2.2091]],
  "species": ["B", "B", "Br", "Br", "Br", "Br", "Br", "Nd", "Nd", "Nd", "Nd"],
  "fractional_positions": [[0.5396, 0.5396, 0.0235], [0.4604, 0.4604, 0.9765], [0.8310, 0.8310, 0.1556], [0.1610, 0.1610, 0.3648], [0.5000, 0.5000, 0.5000], [0.8390, 0.8390, 0.6352], [0.1690, 0.1690, 0.8444], [0.6609, 0.6609, 0.1063], [0.0009, 0.0009, 0.2059], [0.9991, 0.9991, 0.7941], [0.3391, 0.3391, 0.8937]]
}

=====

Entry 10:
{
  "formula": "Pr2Nd2BBr5",
  "functional": "PBE",
  "state": "optimized geometry",
  "energy_ry_per_atom": -0.354,
  "total_magnetization_mub_per_fu": 0.002,
  "cell": [[9.3214, -2.0410, 0.0000], [9.3214, 2.0410, 0.0000], [-1.9692, 0.0000, 8.2710]],
  "species": ["B", "Br", "Br", "Br", "Br", "Br", "Nd", "Nd", "Pr", "Pr"],
  "fractional_positions": [[0.5000, 0.5000, 0.0000], [0.8300, 0.8300, 0.1690], [0.1642, 0.1642, 0.3428], [0.5000, 0.5000, 0.5000], [0.8358, 0.8358, 0.6572], [0.1700, 0.1700, 0.8310], [0.9991, 0.9991, 0.2130], [0.0009, 0.0009, 0.7870], [0.6453, 0.6453, 0.0793], [0.3547, 0.3547, 0.9207]]
}

=====

Entry 11:
{
  "formula": "Pr2Nd2B2Br5",
  "functional": "PBE",
  "state": "optimized geometry",
  "energy_ry_per_atom": -0.366,
  "total_magnetization_mub_per_fu": 0.012,
  "cell": [[-8.2387, -5.7256, -2.9211], [-5.4807, -6.8766, -5.6450], [3.7708, -4.7323, 5.8175]],
  "species": ["B", "B", "Br", "Br", "Br", "Br", "Br", "Nd", "Nd", "Pr", "Pr"],
  "fractional_positions": [[0.4605, 0.4605, 0.4764], [0.5395, 0.5395, 0.5236], [0.5000, 0.5000, 0.0000], [0.8384, 0.8384, 0.1380], [0.1693, 0.1693, 0.3471], [0.8307, 0.8307, 0.6529], [0.1616, 0.1616, 0.8620], [0.3393, 0.3393, 0.3942], [0.6607, 0.6607, 0.6058], [0.9994, 0.9994, 0.2934], [0.0006, 0.0006, 0.7066]]
}

=====

Entry 12:
{
  "formula": "Nd2Sm2BBr5",
  "functional": "PBE",
  "state": "optimized geometry",
  "energy_ry_per_atom": -0.354,
  "total_magnetization_mub_per_fu": 0.004,
  "cell": [[9.1922, -2.0211, 0.0000], [9.1922, 2.0211, 0.0000], [-1.9044, 0.0000, 8.2854]],
  "species": ["B", "Br", "Br", "Br", "Br", "Br", "Nd", "Nd", "Sm", "Sm"],
  "fractional_positions": [[0.5000, 0.5000, 0.0000], [0.8274, 0.8274, 0.1614], [0.1662, 0.1662, 0.3332], [0.5000, 0.5000, 0.5000], [0.8338, 0.8338, 0.6668], [0.1726, 0.1726, 0.8386], [0.9988, 0.9988, 0.2126], [0.0012, 0.0012, 0.7874], [0.6437, 0.6437, 0.0765], [0.3563, 0.3563, 0.9235]]
}